[1]
Below is crystalline CrHgO2F at its relaxed geometry, with properties calculated at the PBE+U level.

Lattice parameters (Å, degrees): 3.973 3.973 3.872 90.00 90.00 90.00
Space group P4/mmm (No. 123)
Asymmetric unit:
Cr (0.000, 0.000, 0.000)
Hg (0.500, 0.500, 0.500)
O (0.000, 0.500, 0.000)
F (0.000, 0.000, 0.500)

Crystal system   tetragonal
Mass density   8.2 g/cm³
Electronic total energy   -5.15 eV per atom

***

[2]
Below is crystalline Be2VO at its relaxed geometry, with properties calculated at the PBE+U level.

Lattice parameters (Å, degrees): 5.227 5.227 6.990 90.00 90.00 90.00
Space group I-42d (No. 122)
Asymmetric unit:
Be (0.096, 0.750, 0.125)
V (0.000, 0.000, 0.500)
O (0.000, 0.000, 0.000)

Crystal system   tetragonal
Mass density   3.0 g/cm³
Electronic total energy   -5.13 eV per atom